Entry from OQMD: a geometry-optimized TmNpNi structure (PBE).

Relative energy among the computed polymorphs: 0.0 meV per atom
Crystal system: cubic
V: 71.1 Å³/cell
Formation energy: 61.5 kJ per mole of atoms

Unit cell a=4.651 b=4.651 c=4.651 alpha=60.00 beta=60.00 gamma=60.00
Element x y z (fractional)
Tm  0.000  0.000  0.000
Np  0.500  0.500  0.500
Ni  0.250  0.250  0.250